No. 1
# Na2LaTlCl6 (GGA-PBE, relaxed)
# Formation energy (no corrections) (eV per atom): -1.88
# Energy (eV/atom): -3.98
# Size of the total moment (μB/atom): 0.000
# Space group: R3 (146)
data_Na2LaTlCl6
_cell_length_a 7.362
_cell_length_b 7.362
_cell_length_c 7.863
_cell_angle_alpha 62.08
_cell_angle_beta 62.08
_cell_angle_gamma 59.99
_space_group_name_H-M_alt 'P 1'
_space_group_IT_number 1
loop_
_space_group_symop_operation_xyz
'x,y,z'
loop_
_atom_site_label
_atom_site_type_symbol
_atom_site_fract_x
_atom_site_fract_y
_atom_site_fract_z
_atom_site_occupancy
Na1 Na 0.520 0.520 0.441 1
Na2 Na 0.009 0.009 0.974 1
La1 La 0.320 0.320 0.039 1
Tl1 Tl 0.804 0.804 0.589 1
Cl1 Cl 0.599 0.244 0.234 1
Cl2 Cl 0.244 0.923 0.234 1
Cl3 Cl 0.923 0.599 0.235 1
Cl4 Cl 0.360 0.723 0.756 1
Cl5 Cl 0.723 0.161 0.756 1
Cl6 Cl 0.161 0.360 0.756 1

No. 2
# BeSi2W (GGA-PBE, relaxed)
# Formation energy (no corrections) (eV per atom): 0.35
# Energy (eV/atom): -6.53
# Size of the total moment (μB/atom): 0.000
# Space group: Cmmm (65)
data_BeSi2W
_cell_length_a 2.700
_cell_length_b 2.700
_cell_length_c 7.526
_cell_angle_alpha 90.00
_cell_angle_beta 90.00
_cell_angle_gamma 103.11
_space_group_name_H-M_alt 'P 1'
_space_group_IT_number 1
loop_
_space_group_symop_operation_xyz
'x,y,z'
loop_
_atom_site_label
_atom_site_type_symbol
_atom_site_fract_x
_atom_site_fract_y
_atom_site_fract_z
_atom_site_occupancy
Be1 Be 0.500 0.500 0.750 1
Si1 Si 0.000 0.000 0.981 1
Si2 Si 0.000 0.000 0.519 1
W1 W 0.500 0.500 0.250 1

No. 3
# Sc2NbPdC (GGA-PBE, relaxed)
# Energy (eV/atom): -7.82
# Size of the total moment (μB/atom): 0.000
# Calculated formation energy (kJ per mole of atoms): -37.9
# Space group: P4/mmm (123)
data_Sc2NbPdC
_cell_length_a 4.458
_cell_length_b 4.458
_cell_length_c 4.292
_cell_angle_alpha 90.00
_cell_angle_beta 90.00
_cell_angle_gamma 90.00
_space_group_name_H-M_alt 'P 1'
_space_group_IT_number 1
loop_
_space_group_symop_operation_xyz
'x,y,z'
loop_
_atom_site_label
_atom_site_type_symbol
_atom_site_fract_x
_atom_site_fract_y
_atom_site_fract_z
_atom_site_occupancy
Sc1 Sc 0.000 0.500 0.000 1
Sc2 Sc 0.500 0.000 0.000 1
Nb1 Nb 0.000 0.000 0.500 1
C1 C 0.000 0.000 0.000 1
Pd1 Pd 0.500 0.500 0.500 1

No. 4
# CeGa3TcNi (GGA-PBE, relaxed)
# Energy (eV/atom): -5.49
# Size of the total moment (μB/atom): 0.000
# Calculated formation energy (kJ per mole of atoms): -28.4
# Space group: Cmcm (63)
data_CeGa3TcNi
_cell_length_a 5.690
_cell_length_b 6.513
_cell_length_c 6.704
_cell_angle_alpha 119.06
_cell_angle_beta 90.00
_cell_angle_gamma 90.00
_space_group_name_H-M_alt 'P 1'
_space_group_IT_number 1
loop_
_space_group_symop_operation_xyz
'x,y,z'
loop_
_atom_site_label
_atom_site_type_symbol
_atom_site_fract_x
_atom_site_fract_y
_atom_site_fract_z
_atom_site_occupancy
Ce1 Ce 0.750 0.235 0.470 1
Ce2 Ce 0.250 0.765 0.530 1
Ga1 Ga 0.250 0.346 0.691 1
Ga2 Ga 0.000 0.193 0.000 1
Ga3 Ga 0.500 0.807 0.000 1
Ga4 Ga 0.500 0.193 0.000 1
Ga5 Ga 0.000 0.807 0.000 1
Ga6 Ga 0.750 0.654 0.309 1
Tc1 Tc 0.250 0.567 0.134 1
Tc2 Tc 0.750 0.433 0.866 1
Ni1 Ni 0.250 0.142 0.284 1
Ni2 Ni 0.750 0.858 0.716 1

No. 5
# HBr (GGA-PBE, relaxed)
# Energy (eV/atom): -2.73
# Size of the total moment (μB/atom): 0.000
# Space group: P4/m (83)
data_HBr
_cell_length_a 10.877
_cell_length_b 10.877
_cell_length_c 4.427
_cell_angle_alpha 90.00
_cell_angle_beta 90.00
_cell_angle_gamma 90.00
_space_group_name_H-M_alt 'P 1'
_space_group_IT_number 1
loop_
_space_group_symop_operation_xyz
'x,y,z'
loop_
_atom_site_label
_atom_site_type_symbol
_atom_site_fract_x
_atom_site_fract_y
_atom_site_fract_z
_atom_site_occupancy
H1 H 0.792 0.701 0.500 1
H2 H 0.208 0.299 0.500 1
H3 H 0.299 0.792 0.500 1
H4 H 0.701 0.208 0.500 1
H5 H 0.907 0.337 0.000 1
H6 H 0.093 0.663 0.000 1
H7 H 0.663 0.907 0.000 1
H8 H 0.337 0.093 0.000 1
Br1 Br 0.687 0.340 0.500 1
Br2 Br 0.313 0.660 0.500 1
Br3 Br 0.660 0.687 0.500 1
Br4 Br 0.340 0.313 0.500 1
Br5 Br 0.991 0.747 0.000 1
Br6 Br 0.009 0.253 0.000 1
Br7 Br 0.253 0.991 0.000 1
Br8 Br 0.747 0.009 0.000 1

No. 6
# Ca2AcMg (GGA-PBE, relaxed)
# Energy (eV/atom): -2.42
# Size of the total moment (μB/atom): 0.000
# Calculated formation energy (kJ per mole of atoms): 0.8
# Space group: P4/mmm (123)
data_Ca2AcMg
_cell_length_a 3.841
_cell_length_b 3.841
_cell_length_c 10.181
_cell_angle_alpha 90.00
_cell_angle_beta 90.00
_cell_angle_gamma 90.00
_space_group_name_H-M_alt 'P 1'
_space_group_IT_number 1
loop_
_space_group_symop_operation_xyz
'x,y,z'
loop_
_atom_site_label
_atom_site_type_symbol
_atom_site_fract_x
_atom_site_fract_y
_atom_site_fract_z
_atom_site_occupancy
Mg1 Mg 0.500 0.500 0.000 1
Ac1 Ac 0.500 0.500 0.500 1
Ca1 Ca 0.000 0.000 0.790 1
Ca2 Ca 0.000 0.000 0.210 1

No. 7
# Li2AcGd (GGA-PBE, relaxed)
# Energy (eV/atom): -5.38
# Size of the total moment (μB/atom): 2.033
# Calculated formation energy (kJ per mole of atoms): 12.2
# Space group: P4/mmm (123)
data_Li2AcGd
_cell_length_a 3.892
_cell_length_b 3.892
_cell_length_c 7.781
_cell_angle_alpha 90.00
_cell_angle_beta 90.00
_cell_angle_gamma 90.00
_space_group_name_H-M_alt 'P 1'
_space_group_IT_number 1
loop_
_space_group_symop_operation_xyz
'x,y,z'
loop_
_atom_site_label
_atom_site_type_symbol
_atom_site_fract_x
_atom_site_fract_y
_atom_site_fract_z
_atom_site_occupancy
Ac1 Ac 0.500 0.500 0.000 1
Gd1 Gd 0.500 0.500 0.500 1
Li1 Li 0.000 0.000 0.728 1
Li2 Li 0.000 0.000 0.272 1

No. 8
# Ta2CuTe (GGA-PBE, relaxed)
# Formation energy (no corrections) (eV per atom): 0.27
# Energy (eV/atom): -7.47
# Size of the total moment (μB/atom): 0.000
# Space group: C2/m (12)
data_Ta2CuTe
_cell_length_a 4.984
_cell_length_b 4.984
_cell_length_c 4.698
_cell_angle_alpha 75.30
_cell_angle_beta 75.30
_cell_angle_gamma 40.02
_space_group_name_H-M_alt 'P 1'
_space_group_IT_number 1
loop_
_space_group_symop_operation_xyz
'x,y,z'
loop_
_atom_site_label
_atom_site_type_symbol
_atom_site_fract_x
_atom_site_fract_y
_atom_site_fract_z
_atom_site_occupancy
Cu1 Cu 0.750 0.750 0.750 1
Ta1 Ta 0.004 0.004 0.983 1
Ta2 Ta 0.496 0.496 0.517 1
Te1 Te 0.250 0.250 0.250 1

No. 9
# MnZn2Pd4 (GGA-PBE, relaxed)
# Energy (eV/atom): -4.87
# Size of the total moment (μB/atom): 0.636
# Calculated formation energy (kJ per mole of atoms): -21.9
# Space group: P2_1/m (11)
data_MnZn2Pd4
_cell_length_a 6.533
_cell_length_b 5.437
_cell_length_c 6.856
_cell_angle_alpha 90.00
_cell_angle_beta 117.87
_cell_angle_gamma 90.00
_space_group_name_H-M_alt 'P 1'
_space_group_IT_number 1
loop_
_space_group_symop_operation_xyz
'x,y,z'
loop_
_atom_site_label
_atom_site_type_symbol
_atom_site_fract_x
_atom_site_fract_y
_atom_site_fract_z
_atom_site_occupancy
Mn1 Mn 0.286 0.750 0.349 1
Mn2 Mn 0.714 0.250 0.651 1
Zn1 Zn 0.799 0.750 0.058 1
Zn2 Zn 0.201 0.250 0.942 1
Zn3 Zn 0.286 0.250 0.357 1
Zn4 Zn 0.714 0.750 0.643 1
Pd1 Pd 0.573 0.497 0.245 1
Pd2 Pd 0.144 0.750 0.936 1
Pd3 Pd 0.856 0.250 0.064 1
Pd4 Pd 0.573 0.003 0.245 1
Pd5 Pd 0.004 0.250 0.515 1
Pd6 Pd 0.427 0.997 0.755 1
Pd7 Pd 0.427 0.503 0.755 1
Pd8 Pd 0.996 0.750 0.485 1

No. 10
# BeCrSe2 (GGA-PBE, relaxed)
# Formation energy (no corrections) (eV per atom): -0.10
# Energy (eV/atom): -5.18
# Size of the total moment (μB/atom): 1.000
# Space group: P2/m (10)
data_BeCrSe2
_cell_length_a 3.322
_cell_length_b 5.177
_cell_length_c 7.528
_cell_angle_alpha 47.82
_cell_angle_beta 90.00
_cell_angle_gamma 90.00
_space_group_name_H-M_alt 'P 1'
_space_group_IT_number 1
loop_
_space_group_symop_operation_xyz
'x,y,z'
loop_
_atom_site_label
_atom_site_type_symbol
_atom_site_fract_x
_atom_site_fract_y
_atom_site_fract_z
_atom_site_occupancy
Cr1 Cr 0.500 0.750 0.750 1
Se1 Se 0.000 0.263 0.021 1
Se2 Se 0.000 0.237 0.479 1
Be1 Be 0.500 0.250 0.250 1

No. 11
# Ni2HRhAu (GGA-PBE, relaxed)
# Energy (eV/atom): -5.04
# Size of the total moment (μB/atom): 0.363
# Space group: P4/mmm (123)
data_Ni2HRhAu
_cell_length_a 3.896
_cell_length_b 3.896
_cell_length_c 3.740
_cell_angle_alpha 90.00
_cell_angle_beta 90.00
_cell_angle_gamma 90.00
_space_group_name_H-M_alt 'P 1'
_space_group_IT_number 1
loop_
_space_group_symop_operation_xyz
'x,y,z'
loop_
_atom_site_label
_atom_site_type_symbol
_atom_site_fract_x
_atom_site_fract_y
_atom_site_fract_z
_atom_site_occupancy
Rh1 Rh 0.000 0.000 0.500 1
Au1 Au 0.500 0.500 0.500 1
H1 H 0.000 0.000 0.000 1
Ni1 Ni 0.000 0.500 0.000 1
Ni2 Ni 0.500 0.000 0.000 1

No. 12
# Nd2DyZr (GGA-PBE, relaxed)
# Energy (eV/atom): -5.36
# Size of the total moment (μB/atom): 0.000
# Calculated formation energy (kJ per mole of atoms): 30.3
# Space group: R-3m (166)
data_Nd2DyZr
_cell_length_a 3.419
_cell_length_b 3.419
_cell_length_c 12.334
_cell_angle_alpha 82.03
_cell_angle_beta 82.03
_cell_angle_gamma 60.00
_space_group_name_H-M_alt 'P 1'
_space_group_IT_number 1
loop_
_space_group_symop_operation_xyz
'x,y,z'
loop_
_atom_site_label
_atom_site_type_symbol
_atom_site_fract_x
_atom_site_fract_y
_atom_site_fract_z
_atom_site_occupancy
Nd1 Nd 0.086 0.086 0.743 1
Nd2 Nd 0.914 0.914 0.257 1
Zr1 Zr 0.000 0.000 0.000 1
Dy1 Dy 0.500 0.500 0.500 1

No. 13
# Tb4TmRu2 (GGA-PBE, relaxed)
# Energy (eV/atom): -6.17
# Size of the total moment (μB/atom): 0.000
# Calculated formation energy (kJ per mole of atoms): -22.4
# Space group: P2_1/m (11)
data_Tb4TmRu2
_cell_length_a 6.341
_cell_length_b 7.853
_cell_length_c 7.813
_cell_angle_alpha 112.51
_cell_angle_beta 90.00
_cell_angle_gamma 90.00
_space_group_name_H-M_alt 'P 1'
_space_group_IT_number 1
loop_
_space_group_symop_operation_xyz
'x,y,z'
loop_
_atom_site_label
_atom_site_type_symbol
_atom_site_fract_x
_atom_site_fract_y
_atom_site_fract_z
_atom_site_occupancy
Tb1 Tb 0.502 0.414 0.759 1
Tb2 Tb 0.250 0.243 0.323 1
Tb3 Tb 0.750 0.757 0.677 1
Tb4 Tb 0.998 0.414 0.759 1
Tb5 Tb 0.750 0.022 0.377 1
Tb6 Tb 0.002 0.586 0.241 1
Tb7 Tb 0.498 0.586 0.241 1
Tb8 Tb 0.250 0.978 0.623 1
Tm1 Tm 0.250 0.836 0.971 1
Tm2 Tm 0.750 0.164 0.029 1
Ru1 Ru 0.250 0.253 0.979 1
Ru2 Ru 0.750 0.747 0.021 1
Ru3 Ru 0.750 0.376 0.412 1
Ru4 Ru 0.250 0.624 0.588 1